(1)
Ac2TiPbO6: optimized geometry, PBE.

- Crystal system: tetragonal
- Uncorrected formation energy: -2.7278 eV/atom

POSCAR file:
```
Ac2TiPbO6
1.0
5.720 0.000 0.000
0.000 5.720 0.000
0.000 0.000 5.421
Ac Ti Pb O
2 1 1 6
direct
0.000 0.500 0.000
0.500 0.000 0.000
0.000 0.000 0.610
0.500 0.500 0.551
0.000 0.000 0.273
0.224 0.224 0.740
0.224 0.776 0.740
0.500 0.500 0.114
0.776 0.224 0.740
0.776 0.776 0.740
```

=====

(2)
DyEr3Zn2: optimized geometry, PBE.

- Crystal system: tetragonal
- DFT formation energy: -227 meV/atom

POSCAR file:
```
DyEr3Zn2
1.0
3.536 0.000 0.000
0.000 3.536 0.000
0.000 0.000 12.076
Dy Er Zn
1 3 2
direct
0.000 0.000 0.000
0.500 0.500 0.210
0.500 0.500 0.500
0.500 0.500 0.790
0.000 0.000 0.355
0.000 0.000 0.645
```

=====

(3)
Cs2NaIn2Br6: optimized geometry, PBE.

- Crystal system: monoclinic
- Uncorrected formation energy: -1.2103 eV/atom

POSCAR file:
```
Cs2NaIn2Br6
1.0
7.043 -4.142 0.000
7.043 4.142 0.000
-5.062 0.000 8.190
Cs Na In Br
2 1 2 6
direct
0.214 0.214 0.196
0.786 0.786 0.804
0.000 0.000 0.500
0.468 0.468 0.827
0.532 0.532 0.173
0.165 0.707 0.219
0.245 0.245 0.593
0.293 0.835 0.781
0.707 0.165 0.219
0.755 0.755 0.407
0.835 0.293 0.781
```

=====

(4)
CsBaLi2Pt: optimized geometry, PBE.

- Crystal system: tetragonal
- DFT formation energy: -100 meV/atom

POSCAR file:
```
CsBaLi2Pt
1.0
5.430 0.000 0.000
0.000 5.430 0.000
0.000 0.000 5.959
Cs Ba Li Pt
1 1 2 1
direct
0.000 0.000 0.000
0.500 0.500 0.000
0.000 0.500 0.500
0.500 0.000 0.500
0.500 0.500 0.500
```

=====

(5)
NaPm2Ge2: optimized geometry, PBE.

- Crystal system: tetragonal
- DFT formation energy: -608 meV/atom

POSCAR file:
```
NaPm2Ge2
1.0
7.805 0.000 0.000
0.000 7.805 0.000
0.000 0.000 4.170
Na Pm Ge
2 4 4
direct
0.000 0.000 0.000
0.500 0.500 0.000
0.181 0.319 0.500
0.319 0.819 0.500
0.681 0.181 0.500
0.819 0.681 0.500
0.116 0.616 0.000
0.384 0.116 0.000
0.616 0.884 0.000
0.884 0.384 0.000
```

=====

(6)
Y13Tm3: optimized geometry, PBE.

- Crystal system: orthorhombic
- DFT formation energy: 24 meV/atom
- Energy above the lowest structure with this stoichiometry: 24.3 meV per atom

POSCAR file:
```
Y13Tm3
1.0
10.029 0.000 0.000
0.000 5.031 5.032
0.000 -5.031 5.032
Y Tm
13 3
direct
0.000 0.000 0.000
0.000 0.000 0.498
0.000 0.498 0.000
0.000 0.498 0.498
0.251 0.248 0.749
0.251 0.749 0.248
0.251 0.749 0.749
0.500 0.000 0.497
0.500 0.497 0.000
0.500 0.498 0.498
0.749 0.248 0.749
0.749 0.749 0.248
0.749 0.749 0.749
0.251 0.248 0.248
0.500 0.000 0.000
0.749 0.248 0.248
```

=====

(7)
LaGeOs: optimized geometry, PBE.

- Crystal system: triclinic
- DFT formation energy: -432 meV/atom

POSCAR file:
```
LaGeOs
1.0
4.344 0.000 0.000
-1.789 5.395 0.000
-1.958 -0.773 5.691
La Ge Os
2 2 2
direct
0.229 0.295 0.175
0.771 0.705 0.825
0.433 0.113 0.713
0.567 0.887 0.287
0.042 0.698 0.428
0.958 0.302 0.572
```

=====

(8)
YCF3: optimized geometry, PBE.

- Crystal system: cubic
- Uncorrected formation energy: -0.6425 eV/atom
- Energy above the lowest structure with this stoichiometry: 1059.3 meV per atom

POSCAR file:
```
YCF3
1.0
4.030 0.000 0.000
0.000 4.030 0.000
0.000 0.000 4.030
Y C F
1 1 3
direct
0.000 0.000 0.000
0.500 0.500 0.500
0.000 0.500 0.500
0.500 0.000 0.500
0.500 0.500 0.000
```

=====

(9)
TlIn3F3: optimized geometry, PBE.

- Crystal system: cubic
- Uncorrected formation energy: -1.1604 eV/atom

POSCAR file:
```
TlIn3F3
1.0
7.237 0.000 0.000
0.000 7.237 0.000
0.000 0.000 7.237
Tl In F
2 6 6
direct
0.000 0.000 0.000
0.500 0.500 0.500
0.000 0.250 0.500
0.000 0.750 0.500
0.250 0.500 0.000
0.500 0.000 0.250
0.500 0.000 0.750
0.750 0.500 0.000
0.000 0.500 0.250
0.000 0.500 0.750
0.250 0.000 0.500
0.500 0.250 0.000
0.500 0.750 0.000
0.750 0.000 0.500
```

=====

(10)
TaBeIN2: optimized geometry, PBE.

- Crystal system: tetragonal
- Uncorrected formation energy: 0.6398 eV/atom
- Energy above the lowest structure with this stoichiometry: 0.0 meV per atom

POSCAR file:
```
TaBeIN2
1.0
3.990 0.000 0.000
0.000 3.990 0.000
0.000 0.000 5.905
Ta Be I N
1 1 1 2
direct
0.000 0.000 0.000
0.500 0.500 0.500
0.000 0.000 0.500
0.000 0.500 0.000
0.500 0.000 0.000
```

=====

(11)
RePd2Pt8: optimized geometry, PBE.

- Crystal system: monoclinic
- DFT formation energy: -74 meV/atom

POSCAR file:
```
RePd2Pt8
1.0
7.133 -1.971 0.000
7.133 1.971 0.000
-1.665 0.000 6.053
Re Pd Pt
1 2 8
direct
0.000 0.000 0.000
0.275 0.275 0.366
0.725 0.725 0.634
0.089 0.089 0.443
0.179 0.179 0.910
0.367 0.367 0.827
0.456 0.456 0.268
0.544 0.544 0.732
0.633 0.633 0.173
0.821 0.821 0.090
0.911 0.911 0.557
```

=====

(12)
PuMgZnCd: optimized geometry, PBE.

- Crystal system: tetragonal
- DFT formation energy: -88 meV/atom
- Energy above the lowest structure with this stoichiometry: 0.0 meV per atom

POSCAR file:
```
PuMgZnCd
1.0
3.162 0.000 0.000
0.000 3.162 0.000
0.000 0.000 8.586
Pu Mg Zn Cd
1 1 1 1
direct
0.000 0.000 0.000
0.000 0.000 0.544
0.500 0.500 0.750
0.500 0.500 0.294
```

=====

| no. | magnetic moment (μB per cell) |
| --- | --- |
| 1 | 0.00 |
| 2 | 0.00 |
| 3 | 0.00 |
| 4 | 0.00 |
| 5 | 0.16 |
| 6 | 0.00 |
| 7 | 0.00 |
| 8 | 1.54 |
| 9 | 0.00 |
| 10 | 0.00 |
| 11 | 0.00 |
| 12 | 5.74 |